First-principles (PBE-GGA) data for NpHg3O7 after structural relaxation, as listed in the Alexandria database.

```
NpHg3O7
1.0
3.953 -4.045 0.000
3.953 4.045 0.000
-2.896 0.000 5.872
Np Hg O
1 3 7
Cartesian
0.000 0.000 0.000
2.452 2.243 2.799
0.753 0.000 4.828
2.452 -2.243 2.799
1.100 2.583 4.360
1.946 0.000 0.126
3.952 2.481 1.421
2.147 0.000 3.318
1.100 -2.583 4.360
6.053 0.000 0.129
3.952 -2.481 1.421
```

=====

First-principles (PBE-GGA) data for Ce2ZrSb3 after structural relaxation, as listed in the Alexandria database.

```
Ce2ZrSb3
1.0
-2.192 2.192 9.209
2.192 -2.192 9.209
2.192 2.192 -9.209
Ce Zr Sb
2 1 3
Cartesian
0.000 0.000 3.077
0.000 0.000 15.342
0.000 0.000 9.209
0.000 0.000 0.000
0.000 0.000 6.254
0.000 0.000 12.165
```

Computed properties:
Energy relative to the lowest polymorph listed for this composition (eV/f.u.): 0.18

=====

First-principles (PBE-GGA) data for Li2GeAs2Pd5 after structural relaxation, as listed in the Alexandria database.

```
Li2GeAs2Pd5
1.0
10.267 0.000 0.000
0.000 10.267 0.000
0.000 0.000 3.147
Li Ge As Pd
4 2 4 10
Cartesian
1.760 3.373 0.000
3.373 8.507 0.000
6.894 1.760 0.000
8.507 6.894 0.000
0.000 0.000 0.000
5.134 5.134 0.000
1.415 6.549 0.000
3.718 1.415 0.000
6.549 8.852 0.000
8.852 3.718 0.000
0.000 5.134 1.574
0.337 8.254 1.574
2.013 0.337 1.574
3.121 5.470 1.574
4.797 3.121 1.574
5.134 0.000 1.574
5.470 7.146 1.574
7.146 4.797 1.574
8.254 9.930 1.574
9.930 2.013 1.574
```

Computed properties:
DFT formation energy (eV per atom): -0.4465

=====

First-principles (PBE-GGA) data for VAs2Pt after structural relaxation, as listed in the Alexandria database.

```
VAs2Pt
1.0
0.000 3.149 3.149
3.149 0.000 3.149
3.149 3.149 0.000
V As Pt
1 2 1
Cartesian
0.000 0.000 0.000
1.575 1.575 1.575
4.724 4.724 4.724
3.149 3.149 3.149
```

Computed properties:
Energy relative to the lowest polymorph listed for this composition (eV/f.u.): 0.85
DFT formation energy (eV per atom): -0.0320

=====

First-principles (PBE-GGA) data for LaTl2Ga2 after structural relaxation, as listed in the Alexandria database.

```
LaTl2Ga2
1.0
8.569 0.000 0.000
0.000 8.569 0.000
0.000 0.000 3.625
La Tl Ga
2 4 4
Cartesian
0.000 0.000 0.000
4.284 4.284 0.000
1.110 3.174 0.000
3.174 7.458 0.000
5.395 1.110 0.000
7.458 5.395 0.000
1.464 5.748 1.813
2.821 1.464 1.813
5.748 7.105 1.813
7.105 2.821 1.813
```

Computed properties:
Energy relative to the lowest polymorph listed for this composition (eV/f.u.): 0.48
DFT formation energy (eV per atom): -0.1054

=====

First-principles (PBE-GGA) data for PaAsRuO after structural relaxation, as listed in the Alexandria database.

```
PaAsRuO
1.0
4.055 0.000 0.000
0.000 4.055 0.000
0.000 0.000 7.737
Pa As Ru O
2 2 2 2
Cartesian
1.014 1.014 1.272
3.041 3.041 6.465
1.014 1.014 5.227
3.041 3.041 2.510
1.014 3.041 3.869
3.041 1.014 3.869
1.014 3.041 0.000
3.041 1.014 0.000
```

=====

Number 1: DFT total energy -5.415 eV/atom. Number 2: DFT total energy -6.308 eV/atom. Number 3: DFT total energy -4.817 eV/atom. Number 4: DFT total energy -6.147 eV/atom. Number 5: DFT total energy -3.248 eV/atom. Number 6: DFT total energy -8.863 eV/atom.